No. 1
An optimized crystal structure of TlPbS2N, computed with GGA-PBEsol.

Results
Size of the total moment: 0.362 μB per atom
Electronic total energy: -4.00 eV per atom
V: 113.3 Å³ per cell
ρ: 7.180 g cm⁻³

a b c (Å): 5.1848 5.1848 4.2129
angles (deg): 90.00 90.00 90.00
With the nearest neighbours (Å) after each atom.
Space group P4/mmm (No. 123)
Inequivalent atoms, fractional coordinates:
Tl 0.0000 0.0000 0.0000 [1 per cell]  2 N 2.11
Pb 0.5000 0.5000 0.5000 [1 per cell]  8 S 3.34, 4 N 3.67
S 0.0000 0.5000 0.0000 [2 per cell]  2 Tl 2.59
N 0.0000 0.0000 0.5000 [1 per cell]  2 Tl 2.11

=====

No. 2
An optimized crystal structure of AlFeW2, computed with GGA-PBEsol.

Results
Size of the total moment: 0.000 μB per atom
V: 54.8 Å³ per cell
Calculated formation energy: -0.025 eV per atom
ρ: 13.662 g cm⁻³

a b c (Å): 2.7497 2.7497 7.2424
angles (deg): 90.00 90.00 90.00
With the nearest neighbours (Å) after each atom.
Space group P4mm (No. 99)
Inequivalent atoms, fractional coordinates:
Al 0.0000 0.0000 0.0000 [1 per cell]  4 Fe 2.43
Fe 0.5000 0.5000 0.2006 [1 per cell]  4 Al 2.43, 4 W 2.53
W 0.0000 0.0000 0.4240 [1 per cell]  4 Fe 2.53, 4 W 2.75
W 0.5000 0.5000 0.7281 [1 per cell]  8 W 2.75-2.94, 4 Al 2.77